A) 4
Lattice="3.6512 -4.5271 0.0000 3.6512 4.5271 0.0000 0.0000 0.0000 3.2186" Properties=species:S:1:pos:R:3 comment="PBE Ba2OsRu, optimized geometry" magmom_total_mub_per_fu=2.39 pbc="T T T"
Ba 1.8256 2.2636 0.0000
Ba 1.8256 -2.2636 0.0000
Os 0.0000 0.0000 1.6093
Ru 3.6512 0.0000 1.6093

***

B) 4
Lattice="2.3367 -2.6694 0.0000 2.3367 2.6694 0.0000 0.0000 0.0000 9.7786" Properties=species:S:1:pos:R:3 comment="PBE Ba2OsRu, optimized geometry" magmom_total_mub_per_fu=0.00 pbc="T T T"
Ba 0.0000 0.0000 0.0000
Ba 2.3367 0.0000 4.1923
Os 0.0000 0.0000 6.5968
Ru 2.3367 0.0000 7.3581

***

C) 4
Lattice="1.7516 1.0113 9.7204 -1.7516 1.0113 9.7204 0.0000 -2.0226 9.7204" Properties=species:S:1:pos:R:3 comment="PBE Ba2OsRu, optimized geometry" magmom_total_mub_per_fu=1.12 pbc="T T T"
Ba 0.0000 0.0000 7.3016
Ba 0.0000 0.0000 21.8597
Os 0.0000 0.0000 14.5806
Ru 0.0000 0.0000 0.0000

***

D) 4
Lattice="0.0000 3.7698 3.7698 3.7698 0.0000 3.7698 3.7698 3.7698 0.0000" Properties=species:S:1:pos:R:3 comment="PBE Ba2OsRu, optimized geometry" magmom_total_mub_per_fu=2.23 pbc="T T T"
Ba 1.8849 1.8849 1.8849
Ba 5.6547 5.6547 5.6547
Os 0.0000 0.0000 0.0000
Ru 3.7698 3.7698 3.7698

***

Of them, C) has the lowest stability.

***

A) 4
Lattice="-2.0939 2.5047 6.3866 2.0939 -2.5047 6.3866 2.0939 2.5047 -6.3866" Properties=species:S:1:pos:R:3 comment="PBE Ba2OsRu, optimized geometry" magmom_total_mub_per_fu=0.00 pbc="T T T"
Ba 0.0000 0.0000 0.0000
Ba 0.0000 2.5047 3.0139
Os 0.0000 0.0000 5.2276
Ru 2.0939 0.0000 4.1584

***

B) 4
Lattice="4.2953 0.0000 0.0000 0.0000 2.5388 5.8078 0.0000 -2.5388 5.8078" Properties=species:S:1:pos:R:3 comment="PBE Ba2OsRu, optimized geometry" magmom_total_mub_per_fu=0.00 pbc="T T T"
Ba 0.0000 0.0000 0.0000
Ba 2.1477 0.0000 3.3112
Os 0.0000 0.0000 7.9846
Ru 2.1477 0.0000 6.9738

***

Of them, A) has the lowest stability.

***

A) 4
Lattice="2.1968 1.2683 5.8843 -2.1968 1.2683 5.8843 0.0000 -2.5366 5.8843" Properties=species:S:1:pos:R:3 comment="PBE BaOs2Ru, optimized geometry" magmom_total_mub_per_fu=0.00 pbc="T T T"
Ba 0.0000 0.0000 0.0000
Os 0.0000 0.0000 3.2793
Os 0.0000 0.0000 14.3735
Ru 0.0000 0.0000 8.8264

***

B) 4
Lattice="2.9797 0.0000 0.0000 0.0000 2.9797 0.0000 0.0000 0.0000 8.5623" Properties=species:S:1:pos:R:3 comment="PBE BaOs2Ru, optimized geometry" magmom_total_mub_per_fu=0.00 pbc="T T T"
Ba 0.0000 0.0000 0.0000
Os 0.0000 0.0000 4.2545
Os 1.4898 1.4898 2.6625
Ru 1.4898 1.4898 5.9111

***

C) 4
Lattice="1.4399 0.8314 10.2813 -1.4399 0.8314 10.2813 0.0000 -1.6627 10.2813" Properties=species:S:1:pos:R:3 comment="PBE BaOs2Ru, optimized geometry" magmom_total_mub_per_fu=0.00 pbc="T T T"
Ba 0.0000 0.0000 0.0000
Os 0.0000 0.0000 7.2331
Os 0.0000 0.0000 23.6109
Ru 0.0000 0.0000 15.4220

***

Of them, C) has the lowest stability.

***

A) 4
Lattice="5.0038 0.0000 0.0000 0.0000 5.0038 0.0000 0.0000 0.0000 2.9661" Properties=species:S:1:pos:R:3 comment="PBE BaOsRu2, optimized geometry" magmom_total_mub_per_fu=2.04 pbc="T T T"
Ba 0.0000 0.0000 0.0000
Os 2.5019 2.5019 0.0000
Ru 0.0000 2.5019 1.4831
Ru 2.5019 0.0000 1.4831

***

B) 4
Lattice="-2.2221 2.2221 3.7299 2.2221 -2.2221 3.7299 2.2221 2.2221 -3.7299" Properties=species:S:1:pos:R:3 comment="PBE BaOsRu2, optimized geometry" magmom_total_mub_per_fu=0.01 pbc="T T T"
Ba 0.0000 0.0000 0.0000
Os 2.2221 0.0000 1.8650
Ru 0.0000 0.0000 3.7299
Ru 0.0000 2.2221 1.8650

***

Of them, B) has the lowest stability.

***

A) 4
Lattice="-1.6885 2.8267 4.6710 1.6885 -2.8267 4.6710 1.6885 2.8267 -4.6710" Properties=species:S:1:pos:R:3 comment="PBE BaOsRu2, optimized geometry" magmom_total_mub_per_fu=0.00 pbc="T T T"
Ba 0.0000 0.0000 0.0000
Os 0.0000 0.0000 4.6710
Ru 1.6885 0.0000 2.9380
Ru 0.0000 2.8267 1.7330

***

B) 4
Lattice="2.9731 0.0000 0.0000 0.0000 4.8061 0.0000 0.0000 0.0000 5.3012" Properties=species:S:1:pos:R:3 comment="PBE BaOsRu2, optimized geometry" magmom_total_mub_per_fu=2.12 pbc="T T T"
Ba 0.0000 0.0000 0.0000
Os 1.4866 0.0000 2.6506
Ru 0.0000 2.4031 2.6506
Ru 1.4866 2.4031 0.0000

***

C) 4
Lattice="0.0000 3.3412 3.3412 3.3412 0.0000 3.3412 3.3412 3.3412 0.0000" Properties=species:S:1:pos:R:3 comment="PBE BaOsRu2, optimized geometry" magmom_total_mub_per_fu=2.28 pbc="T T T"
Ba 0.0000 0.0000 0.0000
Os 3.3412 3.3412 3.3412
Ru 1.6706 1.6706 1.6706
Ru 5.0118 5.0118 5.0118

***

Of them, B) has the lowest stability.

***

A) 4
Lattice="2.8730 0.0000 0.0000 0.0000 3.6763 0.0000 -0.0347 0.0000 7.5457" Properties=species:S:1:pos:R:3 comment="PBE BaOsRu2, optimized geometry" magmom_total_mub_per_fu=0.00 pbc="T T T"
Ba 0.0000 0.0000 0.0000
Os -0.0173 0.0000 3.7728
Ru 1.4171 1.8382 2.4912
Ru 1.4213 1.8382 5.0544

***

B) 4
Lattice="1.4614 0.8437 10.0063 -1.4614 0.8437 10.0063 0.0000 -1.6875 10.0063" Properties=species:S:1:pos:R:3 comment="PBE BaOsRu2, optimized geometry" magmom_total_mub_per_fu=0.00 pbc="T T T"
Ba 0.0000 0.0000 0.0000
Os 0.0000 0.0000 15.0094
Ru 0.0000 0.0000 7.0469
Ru 0.0000 0.0000 22.9719

***

Of them, B) has the lowest stability.

***

A) 5
Lattice="5.8181 0.0000 0.0000 0.0000 5.8181 0.0000 0.0000 0.0000 5.8181" Properties=species:S:1:pos:R:3 comment="PBE BaOsS3, optimized geometry" magmom_total_mub_per_fu=8.00 pbc="T T T"
Ba 0.0000 0.0000 0.0000
Os 2.9090 2.9090 2.9090
S 0.0000 0.0000 2.9090
S 0.0000 2.9090 0.0000
S 2.9090 0.0000 0.0000

***

B) 5
Lattice="4.7859 0.0000 0.0000 0.0000 4.7859 0.0000 0.0000 0.0000 4.7859" Properties=species:S:1:pos:R:3 comment="PBE BaOsS3, optimized geometry" magmom_total_mub_per_fu=2.11 pbc="T T T"
Ba 0.0000 0.0000 0.0000
Os 2.3930 2.3930 2.3930
S 0.0000 2.3930 2.3930
S 2.3930 0.0000 2.3930
S 2.3930 2.3930 0.0000

***

Of them, A) has the lowest stability.

***

A) 5
Lattice="6.0326 0.0000 0.0000 0.0000 6.0326 0.0000 0.0000 0.0000 6.0326" Properties=species:S:1:pos:R:3 comment="PBE BaSb3Os, optimized geometry" magmom_total_mub_per_fu=0.16 pbc="T T T"
Ba 0.0000 0.0000 0.0000
Sb 0.0000 0.0000 3.0163
Sb 0.0000 3.0163 0.0000
Sb 3.0163 0.0000 0.0000
Os 3.0163 3.0163 3.0163

***

B) 5
Lattice="5.3305 0.0000 0.0000 0.0000 5.3305 0.0000 0.0000 0.0000 5.3305" Properties=species:S:1:pos:R:3 comment="PBE BaSb3Os, optimized geometry" magmom_total_mub_per_fu=0.00 pbc="T T T"
Ba 0.0000 0.0000 0.0000
Sb 0.0000 2.6653 2.6653
Sb 2.6653 0.0000 2.6653
Sb 2.6653 2.6653 0.0000
Os 2.6653 2.6653 2.6653

***

Of them, A) has the lowest stability.

***

A) 5
Lattice="5.0897 0.0000 0.0000 0.0000 5.0897 0.0000 0.0000 0.0000 6.1643" Properties=species:S:1:pos:R:3 comment="PBE BaSb2TeOs, optimized geometry" magmom_total_mub_per_fu=0.00 pbc="T T T"
Ba 0.0000 0.0000 0.0000
Sb 0.0000 2.5448 3.0821
Sb 2.5448 0.0000 3.0821
Te 2.5448 2.5448 0.0000
Os 2.5448 2.5448 3.0821

***

B) 5
Lattice="6.2826 0.0000 0.0000 0.0000 6.2826 0.0000 0.0000 0.0000 6.2239" Properties=species:S:1:pos:R:3 comment="PBE BaSb2TeOs, optimized geometry" magmom_total_mub_per_fu=3.64 pbc="T T T"
Ba 0.0000 0.0000 0.0000
Sb 0.0000 3.1413 0.0000
Sb 3.1413 0.0000 0.0000
Te 0.0000 0.0000 3.1119
Os 3.1413 3.1413 3.1119

***

Of them, B) has the lowest stability.

***

A) 4
Lattice="2.1603 1.2473 7.3795 -2.1603 1.2473 7.3795 0.0000 -2.4945 7.3795" Properties=species:S:1:pos:R:3 comment="PBE BaSc2Os, optimized geometry" magmom_total_mub_per_fu=0.46 pbc="T T T"
Ba 0.0000 0.0000 0.0000
Sc 0.0000 0.0000 4.5874
Sc 0.0000 0.0000 10.0512
Os 0.0000 0.0000 18.3745

***

B) 4
Lattice="4.2140 0.0000 0.0000 0.0000 4.5322 0.0000 -2.0871 0.0000 6.6599" Properties=species:S:1:pos:R:3 comment="PBE BaSc2Os, optimized geometry" magmom_total_mub_per_fu=0.00 pbc="T T T"
Ba 0.0000 0.0000 0.0000
Sc -0.0004 2.2661 3.2464
Sc 2.1061 0.0000 2.9223
Os 2.1060 2.2661 1.6849

***

Of them, B) has the lowest stability.

***

A) 4
Lattice="3.1617 -3.9878 0.0000 3.1617 3.9878 0.0000 -0.0113 0.0000 3.5543" Properties=species:S:1:pos:R:3 comment="PBE BaSc2Os, optimized geometry" magmom_total_mub_per_fu=0.00 pbc="T T T"
Ba 0.0000 0.0000 0.0000
Sc 1.5752 1.9939 1.7771
Sc 1.5752 -1.9939 1.7771
Os 3.1617 0.0000 0.0000

***

B) 4
Lattice="1.9269 1.1125 10.1222 -1.9269 1.1125 10.1222 0.0000 -2.2250 10.1222" Properties=species:S:1:pos:R:3 comment="PBE BaSc2Os, optimized geometry" magmom_total_mub_per_fu=0.00 pbc="T T T"
Ba 0.0000 0.0000 0.0000
Sc 0.0000 0.0000 3.7179
Sc 0.0000 0.0000 26.6489
Os 0.0000 0.0000 15.1834

***

Of them, A) has the lowest stability.

***

A) 4
Lattice="3.3140 0.0000 0.0000 0.0000 3.3140 0.0000 0.0000 0.0000 9.5664" Properties=species:S:1:pos:R:3 comment="PBE BaSc2Os, optimized geometry" magmom_total_mub_per_fu=0.00 pbc="T T T"
Ba 0.0000 0.0000 0.0000
Sc 1.6570 1.6570 3.2738
Sc 1.6570 1.6570 6.2926
Os 0.0000 0.0000 4.7832

***

B) 4
Lattice="4.4790 0.0000 0.0000 0.0000 4.4790 0.0000 0.0000 0.0000 4.7011" Properties=species:S:1:pos:R:3 comment="PBE BaSc2Os, optimized geometry" magmom_total_mub_per_fu=0.00 pbc="T T T"
Ba 0.0000 0.0000 0.0000
Sc 0.0000 2.2395 2.3505
Sc 2.2395 0.0000 2.3505
Os 2.2395 2.2395 0.0000

***

Of them, B) has the lowest stability.